(1)
The following is a GGA-PBE calculation of a relaxed structure of PmBeSi, from Alexandria.

Values from the calculation:
Energy: -5.25 eV/atom
E_form (uncorrected): -615 meV per atom
Magnetic moment: 0.0 μB/f.u.

Cell lengths 4.2026, 3.9396, 3.9396 Å; angles 120.00, 90.00, 90.00 degrees
With the nearest neighbours (Å) after each atom.
Positions (direct):
Si: 0.1666 0.6667 0.3333  3 Be 2.27
Pm: 0.6666 0.3333 0.6667  6 Be 3.10, 6 Si 3.10
Be: 0.1668 0.0000 0.0000  3 Si 2.27



(2)
The following is a GGA-PBE calculation of a relaxed structure of VAs2AuSe, from Alexandria.

Values from the calculation:
Energy: -4.72 eV/atom
E_form (uncorrected): 313 meV per atom
Magnetic moment: 0.0 μB/f.u.

Cell lengths 4.7830, 4.7830, 4.6819 Å; angles 90.00, 90.00, 90.00 degrees
With the nearest neighbours (Å) after each atom.
Positions (direct):
As: 0.0000 0.5000 0.0000  2 V 2.39
V: 0.0000 0.0000 0.0000  2 Se 2.34, 4 As 2.39
As: 0.5000 0.0000 0.0000  2 V 2.39
Se: 0.0000 0.0000 0.5000  2 V 2.34
Au: 0.5000 0.5000 0.5000  8 As 3.35, 4 Se 3.38



(3)
The following is a GGA-PBE calculation of a relaxed structure of CaY, from Alexandria.

Values from the calculation:
Energy: -4.07 eV/atom
Magnetic moment: 1.0 μB/f.u.
ΔH_f (0 K): 165 meV per atom

Cell lengths 6.3768, 6.3768, 6.3768 Å; angles 130.75, 130.75, 72.21 degrees
With the nearest neighbours (Å) after each atom.
Positions (direct):
Y: 0.5000 0.5000 0.0000  8 Ca 3.70-3.76, 4 Y 3.70
Ca: 0.2500 0.7500 0.5000  4 Ca 3.70, 8 Y 3.70-3.76
Ca: 0.0000 0.0000 0.0000  8 Y 3.70-3.76, 4 Ca 3.70
Y: 0.7500 0.2500 0.5000  4 Y 3.70, 8 Ca 3.70-3.76



(4)
The following is a GGA-PBE calculation of a relaxed structure of Li5HgRh, from Alexandria.

Values from the calculation:
Energy: -2.58 eV/atom
Magnetic moment: 0.0 μB/f.u.
ΔH_f (0 K): -118 meV per atom

Cell lengths 4.9585, 4.9585, 9.6098 Å; angles 105.31, 105.31, 101.65 degrees
With the nearest neighbours (Å) after each atom.
Positions (direct):
Li: 0.0063 0.4095 0.8365  3 Li 2.44-2.58, 2 Rh 2.69-2.72
Li: 0.5905 0.9937 0.6635  3 Li 2.44-2.58, 2 Rh 2.69-2.72
Hg: 0.0000 0.0000 0.0000  10 Li 2.66-2.95
Li: 0.9937 0.5905 0.1635  3 Li 2.44-2.58, 2 Rh 2.69-2.72
Li: 0.7516 0.4629 0.5393  3 Li 2.45-2.54, 1 Rh 2.68
Li: 0.4095 0.0063 0.3365  3 Li 2.44-2.58, 2 Rh 2.69-2.72
Hg: 0.0000 0.0000 0.5000  10 Li 2.66-2.95
Li: 0.5371 0.2484 0.9607  3 Li 2.45-2.54, 1 Rh 2.68
Li: 0.8524 0.1476 0.2500  4 Li 2.45-2.58, 1 Rh 2.60, 2 Hg 2.66
Li: 0.2484 0.5371 0.4607  3 Li 2.45-2.54, 1 Rh 2.68
Li: 0.4629 0.7516 0.0393  3 Li 2.45-2.54, 1 Rh 2.68
Rh: 0.4858 0.5142 0.7500  9 Li 2.60-2.76
Rh: 0.5142 0.4858 0.2500  9 Li 2.60-2.76
Li: 0.1476 0.8524 0.7500  4 Li 2.45-2.58, 1 Rh 2.60, 2 Hg 2.66



(5)
The following is a GGA-PBE calculation of a relaxed structure of InCuSb2Pd, from Alexandria.

Values from the calculation:
Energy: -3.60 eV/atom
E_form (uncorrected): 454 meV per atom
Magnetic moment: 0.0 μB/f.u.

Cell lengths 5.0015, 5.0015, 4.8095 Å; angles 90.00, 90.00, 90.00 degrees
With the nearest neighbours (Å) after each atom.
Positions (direct):
Sb: 0.5000 0.0000 0.0000  2 Cu 2.50
Pd: 0.5000 0.5000 0.5000  8 Sb 3.47, 4 In 3.54
Cu: 0.0000 0.0000 0.0000  2 In 2.40, 4 Sb 2.50
In: 0.0000 0.0000 0.5000  2 Cu 2.40
Sb: 0.0000 0.5000 0.0000  2 Cu 2.50



(6)
The following is a GGA-PBE calculation of a relaxed structure of Ac2MgAs3Rh4, from Alexandria.

Values from the calculation:
Energy: -6.19 eV/atom
Magnetic moment: 0.0 μB/f.u.
ΔH_f (0 K): -876 meV per atom

Cell lengths 4.3004, 4.3004, 10.7186 Å; angles 90.00, 90.00, 90.00 degrees
With the nearest neighbours (Å) after each atom.
Positions (direct):
As: 0.5000 0.0000 0.8712  5 Rh 2.48-2.56
As: 0.0000 0.0000 0.5000  4 Rh 2.62
Rh: 0.5000 0.0000 0.6395  3 As 2.48-2.62, 2 Mg 2.62
Ac: 0.0000 0.5000 0.7517  8 Rh 3.27-3.42, 6 As 3.30-3.45, 2 Mg 3.45
Rh: 0.0000 0.0000 0.0000  4 As 2.56
As: 0.0000 0.5000 0.1288  5 Rh 2.48-2.56
Rh: 0.5000 0.5000 0.0000  4 As 2.56
Mg: 0.5000 0.5000 0.5000  4 Rh 2.62
Rh: 0.0000 0.5000 0.3605  3 As 2.48-2.62, 2 Mg 2.62
Ac: 0.5000 0.0000 0.2483  8 Rh 3.27-3.42, 6 As 3.30-3.45, 2 Mg 3.45